No. 1
The following is a DFT calculation (GGA-PBE) of a relaxed MoP2Se crystal.

Computed properties:
Density = 4.45 g cm⁻³
Fermi-level density of states = 1.773 states/eV/f.u.
E_tot = -5.965 eV per atom

Lattice parameters (Å, degrees): 5.6792 5.6792 10.9499 90.00 90.00 90.00
Positions (direct):
Mo 0.0000 0.0000 0.0000
Mo 0.0000 0.5000 0.2500
Mo 0.5000 0.0000 0.7500
Mo 0.5000 0.5000 0.5000
P 0.2122 0.2500 0.1250
P 0.2500 0.7122 0.3750
P 0.2500 0.7878 0.8750
P 0.2878 0.2500 0.6250
P 0.7122 0.7500 0.6250
P 0.7500 0.2122 0.8750
P 0.7500 0.2878 0.3750
P 0.7878 0.7500 0.1250
Se 0.0000 0.0000 0.5000
Se 0.0000 0.5000 0.7500
Se 0.5000 0.0000 0.2500
Se 0.5000 0.5000 0.0000

=====

No. 2
The following is a DFT calculation (GGA-PBE) of a relaxed MoP2Se crystal.

Computed properties:
Density = 4.73 g cm⁻³
Fermi-level density of states = 0.498 states/eV/f.u.
E_tot = -6.429 eV per atom

Lattice parameters (Å, degrees): 7.7933 3.2235 6.7448 90.00 101.34 90.00
Positions (direct):
Mo 0.0000 0.0000 0.0000
Mo 0.5000 0.5000 0.0000
P 0.2715 0.0000 0.8848
P 0.4593 0.0000 0.6983
P 0.7715 0.5000 0.8848
P 0.9593 0.5000 0.6983
Se 0.2228 0.5000 0.2385
Se 0.7228 0.0000 0.2385

=====

No. 3
The following is a DFT calculation (GGA-PBE) of a relaxed MoP2Se crystal.

Computed properties:
Density = 5.95 g cm⁻³
Fermi-level density of states = 2.428 states/eV/f.u.
E_tot = -6.242 eV per atom

Lattice parameters (Å, degrees): 3.1655 3.1655 22.8369 90.00 90.00 120.00
Positions (direct):
Mo 0.0000 0.0000 0.0000
Mo 0.3333 0.6667 0.6667
Mo 0.6667 0.3333 0.3333
P 0.0000 0.0000 0.2612
P 0.0000 0.0000 0.7388
P 0.3333 0.6667 0.4055
P 0.3333 0.6667 0.9279
P 0.6667 0.3333 0.0721
P 0.6667 0.3333 0.5945
Se 0.0000 0.0000 0.5000
Se 0.3333 0.6667 0.1667
Se 0.6667 0.3333 0.8333

=====

No. 4
The following is a DFT calculation (GGA-PBE) of a relaxed Mo3PSe3 crystal.

Computed properties:
Density = 6.07 g cm⁻³
Fermi-level density of states = 2.317 states/eV/f.u.
Distance to the lowest polymorph of the same formula = 0 meV/atom
E_tot = -7.046 eV per atom

Lattice parameters (Å, degrees): 8.5999 4.6131 8.7041 90.00 118.26 90.00
Positions (direct):
Mo 0.0517 0.2500 0.1964
Mo 0.1502 0.2500 0.9489
Mo 0.2052 0.7500 0.1485
Mo 0.7948 0.2500 0.8515
Mo 0.8498 0.7500 0.0511
Mo 0.9483 0.7500 0.8036
P 0.4800 0.2500 0.6680
P 0.5200 0.7500 0.3320
Se 0.0874 0.7500 0.3737
Se 0.2789 0.7500 0.8886
Se 0.3969 0.2500 0.3092
Se 0.6031 0.7500 0.6908
Se 0.7211 0.2500 0.1114
Se 0.9126 0.2500 0.6263

=====

No. 5
The following is a DFT calculation (GGA-PBE) of a relaxed MoPSe2 crystal.

Computed properties:
Density = 5.97 g cm⁻³
Fermi-level density of states = 3.392 states/eV/f.u.
E_tot = -5.667 eV per atom

Lattice parameters (Å, degrees): 3.2455 3.2455 26.0649 90.00 90.00 120.00
Positions (direct):
Mo 0.0000 0.0000 0.0000
Mo 0.3333 0.6667 0.6667
Mo 0.6667 0.3333 0.3333
P 0.0000 0.0000 0.5000
P 0.3333 0.6667 0.1667
P 0.6667 0.3333 0.8333
Se 0.0000 0.0000 0.4005
Se 0.0000 0.0000 0.5995
Se 0.3333 0.6667 0.0671
Se 0.3333 0.6667 0.2662
Se 0.6667 0.3333 0.7338
Se 0.6667 0.3333 0.9329

=====

No. 6
The following is a DFT calculation (GGA-PBE) of a relaxed Mo2P3Se4 crystal.

Computed properties:
Density = 4.57 g cm⁻³
Fermi-level density of states = 2.656 states/eV/f.u.
E_tot = -5.950 eV per atom

Lattice parameters (Å, degrees): 7.3374 7.7780 8.3629 86.90 66.57 85.92
Positions (direct):
Mo 0.0241 0.2670 0.4417
Mo 0.2931 0.0005 0.4897
Mo 0.7069 0.9995 0.5103
Mo 0.9759 0.7330 0.5583
P 0.0190 0.7934 0.9818
P 0.0664 0.9617 0.3316
P 0.1945 0.9937 0.0384
P 0.8055 0.0063 0.9616
P 0.9336 0.0383 0.6684
P 0.9810 0.2066 0.0182
Se 0.1663 0.5590 0.2982
Se 0.2308 0.7197 0.6879
Se 0.3797 0.2281 0.2384
Se 0.3850 0.1740 0.6786
Se 0.6150 0.8260 0.3214
Se 0.6203 0.7719 0.7616
Se 0.7692 0.2803 0.3121
Se 0.8337 0.4410 0.7018

=====

What is the formula in the third record?
MoP2Se

=====

Which formula does entry 1 have?
MoP2Se

=====

Among the records above, which one has the highest E_tot?
MoPSe2

=====

Which of these has the highest Fermi-level density of states?
MoPSe2